La2PmSmBi4 GGA-PBE optimized geometry; final energy = -5.35 eV per atom; energy of formation from the pure elements = -0.99 eV per atom
1.0
4.6412 0.0000 0.0000
0.0000 8.0245 -0.1562
0.0000 2.8263 7.5192
La Pm Sm Bi
2 1 1 4
direct
0.0000 0.0000 0.0000 La
0.5000 0.0000 0.5000 La
0.5000 0.5000 0.0000 Pm
0.0000 0.5000 0.5000 Sm
0.0000 0.7435 0.7515 Bi
0.0000 0.2565 0.2485 Bi
0.5000 0.7432 0.2528 Bi
0.5000 0.2568 0.7472 Bi